NpTe2PbO8, optimized geometry, DFT GGA-PBE; DOS at the Fermi energy = 0.906 states/eV/f.u.; total magnetic moment = 1.00 μB per cell; raw formation energy = -1.647 eV per atom; VASP energy = -82.368 eV for the cell shown
1.0
-0.836 1.694 5.579
2.584 -4.704 4.926
6.330 -0.523 4.217
Np O Pb Te
1 8 1 2
Direct
0.000 0.000 0.000 Np
0.675 0.512 0.138 O
0.929 0.364 0.777 O
0.379 0.027 0.757 O
0.071 0.636 0.223 O
0.325 0.488 0.862 O
0.163 0.973 0.243 O
0.621 0.973 0.243 O
0.837 0.027 0.757 O
0.500 0.500 0.500 Pb
0.293 0.204 0.209 Te
0.707 0.796 0.791 Te